A relaxed Sn3Au12Se5 crystal, computed with PBE.

Cell: 13.5805 13.5805 13.5805 Å, 109.47 109.47 109.47°
Closest atoms and distances in Å follow each position.
Sites, in units of the cell vectors:
Sn1 0.1250 0.2500 0.3750  8 Au 2.73-3.00
Sn2 0.1250 0.3750 0.7500  8 Au 2.73-3.00
Sn3 0.2500 0.3750 0.1250  8 Au 2.73-3.00
Sn4 0.2500 0.8750 0.6250  8 Au 2.73-3.00
Sn5 0.3750 0.1250 0.2500  8 Au 2.73-3.00
Sn6 0.3750 0.7500 0.1250  8 Au 2.73-3.00
Sn7 0.6250 0.2500 0.8750  8 Au 2.73-3.00
Sn8 0.6250 0.8750 0.7500  8 Au 2.73-3.00
Sn9 0.7500 0.1250 0.3750  8 Au 2.73-3.00
Sn10 0.7500 0.6250 0.8750  8 Au 2.73-3.00
Sn11 0.8750 0.6250 0.2500  8 Au 2.73-3.00
Sn12 0.8750 0.7500 0.6250  8 Au 2.73-3.00
Au1 0.0594 0.2313 0.1328  2 Se 2.57-2.71, 1 Sn 2.73
Au2 0.0594 0.3281 0.9265  2 Se 2.57-2.71, 1 Sn 2.73
Au3 0.0735 0.6328 0.4016  2 Se 2.57-2.71, 1 Sn 2.73
Au4 0.0735 0.9406 0.6719  2 Se 2.57-2.71, 1 Sn 2.73
Au5 0.0984 0.7313 0.6719  2 Se 2.57-2.71, 1 Sn 2.73
Au6 0.0984 0.8672 0.4265  2 Se 2.57-2.71, 1 Sn 2.73
Au7 0.1328 0.0594 0.2313  2 Se 2.57-2.71, 1 Sn 2.73
Au8 0.1328 0.5735 0.9016  2 Se 2.57-2.71, 1 Sn 2.73
Au9 0.1719 0.2313 0.5984  2 Se 2.57-2.71, 1 Sn 2.73
Au10 0.1719 0.4406 0.5735  2 Se 2.57-2.71, 1 Sn 2.73
Au11 0.2313 0.1328 0.0594  2 Se 2.57-2.71, 1 Sn 2.73
Au12 0.2313 0.5984 0.1719  2 Se 2.57-2.71, 1 Sn 2.73
Au13 0.2687 0.3281 0.9016  2 Se 2.57-2.71, 1 Sn 2.73
Au14 0.2687 0.4406 0.3672  2 Se 2.57-2.71, 1 Sn 2.73
Au15 0.3281 0.9016 0.2687  2 Se 2.57-2.71, 1 Sn 2.73
Au16 0.3281 0.9265 0.0594  2 Se 2.57-2.71, 1 Sn 2.73
Au17 0.3672 0.2687 0.4406  2 Se 2.57-2.71, 1 Sn 2.73
Au18 0.3672 0.5984 0.9265  2 Se 2.57-2.71, 1 Sn 2.73
Au19 0.4016 0.0735 0.6328  2 Se 2.57-2.71, 1 Sn 2.73
Au20 0.4016 0.8281 0.7687  2 Se 2.57-2.71, 1 Sn 2.73
Au21 0.4265 0.0984 0.8672  2 Se 2.57-2.71, 1 Sn 2.73
Au22 0.4265 0.8281 0.5594  2 Se 2.57-2.71, 1 Sn 2.73
Au23 0.4406 0.3672 0.2687  2 Se 2.57-2.71, 1 Sn 2.73
Au24 0.4406 0.5735 0.1719  2 Se 2.57-2.71, 1 Sn 2.73
Au25 0.5594 0.4265 0.8281  2 Se 2.57-2.71, 1 Sn 2.73
Au26 0.5594 0.6328 0.7313  2 Se 2.57-2.71, 1 Sn 2.73
Au27 0.5735 0.1719 0.4406  2 Se 2.57-2.71, 1 Sn 2.73
Au28 0.5735 0.9016 0.1328  2 Se 2.57-2.71, 1 Sn 2.73
Au29 0.5984 0.1719 0.2313  2 Se 2.57-2.71, 1 Sn 2.73
Au30 0.5984 0.9265 0.3672  2 Se 2.57-2.71, 1 Sn 2.73
Au31 0.6328 0.4016 0.0735  2 Se 2.57-2.71, 1 Sn 2.73
Au32 0.6328 0.7313 0.5594  2 Se 2.57-2.71, 1 Sn 2.73
Au33 0.6719 0.0735 0.9406  2 Se 2.57-2.71, 1 Sn 2.73
Au34 0.6719 0.0984 0.7313  2 Se 2.57-2.71, 1 Sn 2.73
Au35 0.7313 0.5594 0.6328  2 Se 2.57-2.71, 1 Sn 2.73
Au36 0.7313 0.6719 0.0984  2 Se 2.57-2.71, 1 Sn 2.73
Au37 0.7687 0.4016 0.8281  2 Se 2.57-2.71, 1 Sn 2.73
Au38 0.7687 0.8672 0.9406  2 Se 2.57-2.71, 1 Sn 2.73
Au39 0.8281 0.5594 0.4265  2 Se 2.57-2.71, 1 Sn 2.73
Au40 0.8281 0.7687 0.4016  2 Se 2.57-2.71, 1 Sn 2.73
Au41 0.8672 0.4265 0.0984  2 Se 2.57-2.71, 1 Sn 2.73
Au42 0.8672 0.9406 0.7687  2 Se 2.57-2.71, 1 Sn 2.73
Au43 0.9016 0.1328 0.5735  2 Se 2.57-2.71, 1 Sn 2.73
Au44 0.9016 0.2687 0.3281  2 Se 2.57-2.71, 1 Sn 2.73
Au45 0.9265 0.0594 0.3281  2 Se 2.57-2.71, 1 Sn 2.73
Au46 0.9265 0.3672 0.5984  2 Se 2.57-2.71, 1 Sn 2.73
Au47 0.9406 0.6719 0.0735  2 Se 2.57-2.71, 1 Sn 2.73
Au48 0.9406 0.7687 0.8672  2 Se 2.57-2.71, 1 Sn 2.73
Se1 0.0000 0.0000 0.0000  6 Au 2.71
Se2 0.0000 0.0000 0.5000  6 Au 2.71
Se3 0.0000 0.5000 0.0000  6 Au 2.71
Se4 0.0000 0.5000 0.5000  6 Au 2.71
Se5 0.1250 0.7500 0.8750  4 Au 2.57
Se6 0.1250 0.8750 0.2500  4 Au 2.57
Se7 0.2500 0.1250 0.8750  4 Au 2.57
Se8 0.2500 0.6250 0.3750  4 Au 2.57
Se9 0.3750 0.2500 0.6250  4 Au 2.57
Se10 0.3750 0.6250 0.7500  4 Au 2.57
Se11 0.5000 0.0000 0.0000  6 Au 2.71
Se12 0.5000 0.0000 0.5000  6 Au 2.71
Se13 0.5000 0.5000 0.0000  6 Au 2.71
Se14 0.5000 0.5000 0.5000  6 Au 2.71
Se15 0.6250 0.3750 0.2500  4 Au 2.57
Se16 0.6250 0.7500 0.3750  4 Au 2.57
Se17 0.7500 0.3750 0.6250  4 Au 2.57
Se18 0.7500 0.8750 0.1250  4 Au 2.57
Se19 0.8750 0.1250 0.7500  4 Au 2.57
Se20 0.8750 0.2500 0.1250  4 Au 2.57

Values from the calculation:
- Uncorrected energy: -3.37 eV per atom
- ΔE_f (raw): 0.07 eV/atom